[1]
VASP calculation (PBEsol) on YReNi3 after structural relaxation.

## Properties
* calculated volume: 17.0 Å³/atom
* VASP energy: -28.9 eV/cell
* crystal system: cubic

Cell: 4.4007 4.4007 4.4007 Å, 90.00 90.00 90.00°
Space group Pm-3m (No. 221)
Asymmetric unit:
Y: 0.0000 0.0000 0.0000 x1
Re: 0.5000 0.5000 0.5000 x1
Ni: 0.0000 0.0000 0.5000 x3

=====

[2]
VASP calculation (PBEsol) on Cd2ReSb after structural relaxation.

## Properties
* calculated volume: 21.3 Å³/atom
* VASP energy: -36.9 eV/cell
* crystal system: orthorhombic

Cell: 2.9291 4.3690 13.3268 Å, 90.00 90.00 90.00°
Space group Immm (No. 71)
Asymmetric unit:
Cd: 0.0000 0.0000 0.1929 x4
Re: 0.0000 0.5000 0.5000 x2
Sb: 0.0000 0.5000 0.0000 x2

=====

[3]
VASP calculation (PBEsol) on LiGe2Mo2 after structural relaxation.

## Properties
* calculated volume: 17.9 Å³/atom
* VASP energy: -68.3 eV/cell
* crystal system: tetragonal

Cell: 4.7626 4.7626 7.8909 Å, 90.00 90.00 90.00°
Space group I4/mmm (No. 139)
Asymmetric unit:
Li: 0.0000 0.0000 0.0000 x2
Ge: 0.0000 0.5000 0.2500 x4
Mo: 0.0000 0.0000 0.3563 x4

=====

[4]
VASP calculation (PBEsol) on KMo2Au after structural relaxation.

## Properties
* calculated volume: 18.5 Å³/atom
* VASP energy: -23.4 eV/cell
* crystal system: tetragonal

Cell: 3.8287 3.8287 5.0602 Å, 90.00 90.00 90.00°
Space group P4/mmm (No. 123)
Asymmetric unit:
K: 0.0000 0.0000 0.0000 x1
Mo: 0.0000 0.5000 0.5000 x2
Au: 0.5000 0.5000 0.0000 x1

=====

[5]
VASP calculation (PBEsol) on K5B19O31 after structural relaxation.

## Properties
* calculated volume: 12.2 Å³/atom
* VASP energy: -1746.5 eV/cell
* crystal system: monoclinic

Cell: 17.9685 11.6109 12.9485 Å, 90.00 95.61 90.00°
Space group C2/c (No. 15)
Asymmetric unit:
K: 0.0000 0.0000 0.0000 x4
K: 0.1634 0.4623 0.1982 x8
K: 0.1758 0.2285 0.6672 x8
B: 0.0000 0.3901 0.7500 x4
B: 0.0147 0.2961 0.5046 x8
B: 0.0163 0.4511 0.3829 x8
B: 0.0676 0.0245 0.2413 x8
B: 0.0757 0.2460 0.8636 x8
B: 0.1323 0.3379 0.4284 x8
B: 0.1542 0.1729 0.3012 x8
B: 0.1728 0.1214 0.9586 x8
B: 0.1764 0.0626 0.1433 x8
B: 0.2386 0.4759 0.4773 x8
O: 0.0000 0.0301 0.7500 x4
O: 0.0230 0.2268 0.9319 x8
O: 0.0229 0.3845 0.0500 x8
O: 0.0229 0.4604 0.6648 x8
O: 0.0666 0.3184 0.7819 x8
O: 0.0864 0.2673 0.4917 x8
O: 0.0869 0.1140 0.3094 x8
O: 0.0874 0.4226 0.3650 x8
O: 0.1116 0.0099 0.6678 x8
O: 0.1414 0.1810 0.8727 x8
O: 0.1487 0.1335 0.0535 x8
O: 0.1738 0.2669 0.3596 x8
O: 0.1860 0.4002 0.5026 x8
O: 0.2020 0.1367 0.2312 x8
O: 0.2303 0.0463 0.9411 x8
O: 0.2371 0.0147 0.6194 x8

=====

[6]
VASP calculation (PBEsol) on Tl2InPt after structural relaxation.

## Properties
* calculated volume: 24.3 Å³/atom
* VASP energy: -31.1 eV/cell
* crystal system: orthorhombic

Cell: 3.1861 4.4288 13.7676 Å, 90.00 90.00 90.00°
Space group Immm (No. 71)
Asymmetric unit:
Tl: 0.0000 0.0000 0.1840 x4
In: 0.0000 0.5000 0.0000 x2
Pt: 0.0000 0.5000 0.5000 x2

=====

[7]
VASP calculation (PBEsol) on KBa2Sr after structural relaxation.

## Properties
* calculated volume: 59.4 Å³/atom
* VASP energy: -13.7 eV/cell
* crystal system: orthorhombic

Cell: 4.6637 7.1286 14.2988 Å, 90.00 90.00 90.00°
Space group Imm2 (No. 44)
Asymmetric unit:
K: 0.0000 0.0000 0.0000 x2
Ba: 0.0000 0.0000 0.4917 x2
Ba: 0.0000 0.5000 0.2505 x2
Sr: 0.0000 0.5000 0.7405 x2

=====

[8]
VASP calculation (PBEsol) on Fe3Ni20B6 after structural relaxation.

## Properties
* calculated volume: 9.5 Å³/atom
* VASP energy: -798.7 eV/cell
* crystal system: cubic

Cell: 10.3262 10.3262 10.3262 Å, 90.00 90.00 90.00°
Space group Fm-3m (No. 225)
Asymmetric unit:
Fe: 0.0000 0.0000 0.0000 x4
Fe: 0.2500 0.2500 0.2500 x8
Ni: 0.0000 0.1694 0.1694 x48
Ni: 0.1183 0.1183 0.3817 x32
B: 0.0000 0.0000 0.2721 x24

=====

[9]
VASP calculation (PBEsol) on LiTl after structural relaxation.

## Properties
* calculated volume: 20.7 Å³/atom
* VASP energy: -20.3 eV/cell
* crystal system: cubic

Cell: 5.4898 5.4898 5.4898 Å, 90.00 90.00 90.00°
Space group P2_13 (No. 198)
Asymmetric unit:
Li: 0.1002 0.3998 0.6002 x4
Tl: 0.0960 0.9040 0.4040 x4

=====

[10]
VASP calculation (PBEsol) on Ba3TiNb4O15 after structural relaxation.

## Properties
* calculated volume: 13.9 Å³/atom
* VASP energy: -403.7 eV/cell
* crystal system: tetragonal

Cell: 12.5852 12.5852 4.0312 Å, 90.00 90.00 90.00°
Space group P4bm (No. 100)
Asymmetric unit:
Ba: 0.0000 0.0000 0.0000 x2
Ba: 0.1646 0.3354 0.9926 x4
Ti: 0.0000 0.5000 0.4597 x2
Nb: 0.0746 0.7836 0.4854 x8
O: 0.0000 0.5000 0.0248 x2
O: 0.0057 0.3454 0.5168 x8
O: 0.0658 0.1408 0.5169 x8
O: 0.0804 0.7935 0.0139 x8
O: 0.2220 0.7220 0.5171 x4

=====

[11]
VASP calculation (PBEsol) on LaMg2Sb after structural relaxation.

## Properties
* calculated volume: 27.4 Å³/atom
* VASP energy: -30.0 eV/cell
* crystal system: tetragonal

Cell: 4.4693 4.4693 10.9749 Å, 90.00 90.00 90.00°
Space group I4/mmm (No. 139)
Asymmetric unit:
La: 0.0000 0.0000 0.0000 x2
Mg: 0.0000 0.5000 0.2500 x4
Sb: 0.0000 0.0000 0.5000 x2

=====

[12]
VASP calculation (PBEsol) on LiDy3 after structural relaxation.

## Properties
* calculated volume: 27.6 Å³/atom
* VASP energy: -32.2 eV/cell
* crystal system: hexagonal

Cell: 6.8636 6.8636 5.4071 Å, 90.00 90.00 120.00°
Space group P6_3/mmc (No. 194)
Asymmetric unit:
Li: 0.3333 0.6667 0.2500 x2
Dy: 0.1684 0.3369 0.7500 x6